(1)
Here is a geometry-optimized CePr2SmBi5 structure from Alexandria. Energies are from PBE-GGA.

a = 5.5204 Å, b = 5.5204 Å, c = 12.1123 Å
α = 90.00°, β = 90.00°, γ = 90.00°
Last column: nearest neighbours and their distance in Å.
Atoms (fractional coordinates):
Ce  0.0000  0.0000  0.0000  2 Bi 2.99
Pr  0.5000  0.5000  0.2771  1 Bi 3.36
Pr  0.5000  0.5000  0.7229  1 Bi 3.36
Sm  0.0000  0.0000  0.5000  6 Bi 2.76-3.07
Bi  0.0000  0.0000  0.2466  1 Ce 2.99, 1 Sm 3.07
Bi  0.0000  0.0000  0.7534  1 Ce 2.99, 1 Sm 3.07
Bi  0.0000  0.5000  0.5000  2 Sm 2.76
Bi  0.5000  0.0000  0.5000  2 Sm 2.76
Bi  0.5000  0.5000  0.0000  2 Pr 3.36

SG: No. 123
Uncorrected energy (hartree per atom): -0.1656
Energy relative to the elements (eV per atom): -0.10


(2)
Here is a geometry-optimized CuPOsS structure from Alexandria. Energies are from PBE-GGA.

a = 3.0757 Å, b = 3.0757 Å, c = 6.5771 Å
α = 90.00°, β = 90.00°, γ = 90.00°
Last column: nearest neighbours and their distance in Å.
Atoms (fractional coordinates):
Cu  0.0000  0.0000  0.0000  1 P 2.31, 4 S 2.36
P  0.0000  0.0000  0.6483  1 Cu 2.31, 4 Os 2.41
Os  0.5000  0.5000  0.4917  1 S 2.31, 4 P 2.41
S  0.5000  0.5000  0.1408  1 Os 2.31, 4 Cu 2.36

Uncorrected formation energy (eV per atom): 0.0114
Polymorph energy (0 for the lowest one) (eV/f.u.): 0.332
SG: No. 99
Uncorrected energy (hartree per atom): -0.2280


(3)
Here is a geometry-optimized Mn2CdPb structure from Alexandria. Energies are from PBE-GGA.

a = 3.1915 Å, b = 3.9042 Å, c = 6.2253 Å
α = 90.00°, β = 90.00°, γ = 90.00°
Last column: nearest neighbours and their distance in Å.
Atoms (fractional coordinates):
Mn  0.0000  0.0000  0.2356  4 Cd 2.92, 3 Mn 2.93-3.19, 4 Pb 3.01
Mn  0.0000  0.0000  0.7644  4 Cd 2.92, 3 Mn 2.93-3.19, 4 Pb 3.01
Cd  0.5000  0.5000  0.0000  8 Mn 2.92, 2 Pb 3.11, 2 Cd 3.19
Pb  0.5000  0.5000  0.5000  8 Mn 3.01, 2 Cd 3.11, 2 Pb 3.19

SG: No. 47
Uncorrected energy (hartree per atom): -0.1960
Energy relative to the elements (eV per atom): 0.41


Among the records above, which one has the lowest uncorrected energy? CuPOsS


What is the uncorrected energy in the second record? -0.2280 hartree per atom


uncorrected energy of number 1 (CePr2SmBi5)? -0.1656 hartree per atom